[1]
{"formula": "SmTlAg", "functional": "PBE", "state": "optimized geometry", "cell": [[0.000, 3.557, 3.557], [3.557, 0.000, 3.557], [3.557, 3.557, 0.000]], "species": ["Sm", "Ag", "Tl"], "fractional_positions": [[0.000, 0.000, 0.000], [0.250, 0.250, 0.250], [0.750, 0.750, 0.750]], "final_energy_ev_per_fu": -9.52}

[2]
{"formula": "YHoFe2Ge2C", "functional": "PBE", "state": "optimized geometry", "cell": [[5.342, -1.982, 0.000], [5.342, 1.982, 0.000], [-4.260, 0.000, 5.317]], "species": ["Fe", "Fe", "Ho", "Ge", "Ge", "C", "Y"], "fractional_positions": [[0.196, 0.196, 0.090], [0.805, 0.805, 0.911], [0.557, 0.557, 0.288], [0.837, 0.837, 0.290], [0.163, 0.163, 0.709], [0.001, 0.001, 0.002], [0.442, 0.442, 0.710]], "final_energy_ev_per_fu": -50.42}

[3]
{"formula": "DyAsPbO", "functional": "PBE", "state": "optimized geometry", "cell": [[5.536, 0.000, 0.000], [0.000, 5.536, 0.000], [0.000, 0.000, 5.610]], "species": ["O", "O", "As", "As", "Dy", "Dy", "Pb", "Pb"], "fractional_positions": [[0.750, 0.250, 0.000], [0.250, 0.750, 0.000], [0.750, 0.750, 0.494], [0.250, 0.250, 0.506], [0.250, 0.750, 0.500], [0.750, 0.250, 0.500], [0.750, 0.750, 0.995], [0.250, 0.250, 0.005]], "final_energy_ev_per_fu": -22.12, "relative_energy_mev_per_atom": 365}

[4]
{"formula": "PmGaF6", "functional": "PBE", "state": "optimized geometry", "cell": [[-3.113, -1.513, -3.613], [-4.467, -1.917, 1.192], [-4.416, 3.161, -0.974]], "species": ["F", "F", "F", "F", "F", "F", "Pm", "Ga"], "fractional_positions": [[0.402, 0.789, 0.768], [0.211, 0.959, 0.232], [0.042, 0.402, 0.768], [0.598, 0.211, 0.232], [0.789, 0.041, 0.768], [0.958, 0.598, 0.232], [0.500, 0.500, 0.500], [0.000, 0.000, 0.000]], "final_energy_ev_per_fu": -45.24}

[5]
{"formula": "ZnNi6Sb", "functional": "PBE", "state": "optimized geometry", "cell": [[-0.214, -3.701, -1.897], [1.236, -2.356, 4.457], [-3.743, -1.466, 3.284]], "species": ["Ni", "Ni", "Ni", "Ni", "Ni", "Ni", "Sb", "Zn"], "fractional_positions": [[0.500, 0.915, 0.419], [0.500, 0.915, 0.915], [0.000, 0.590, 0.590], [0.500, 0.419, 0.915], [0.000, 0.591, 0.069], [0.000, 0.069, 0.591], [0.500, 0.417, 0.417], [0.000, 0.083, 0.083]], "final_energy_ev_per_fu": -40.06}

[6]
{"formula": "CdAsW2", "functional": "PBE", "state": "optimized geometry", "cell": [[0.702, -3.584, 2.819], [-0.976, 0.374, 4.493], [-3.598, -2.277, 1.776]], "species": ["W", "W", "Cd", "As"], "fractional_positions": [[0.750, 0.750, 0.750], [0.000, 0.000, 0.000], [0.250, 0.250, 0.250], [0.500, 0.500, 0.500]], "final_energy_ev_per_fu": -28.29}

[7]
{"formula": "GaAu", "functional": "PBE", "state": "optimized geometry", "cell": [[2.941, 0.000, 0.000], [-1.470, 2.547, 0.000], [0.000, 0.000, 4.716]], "species": ["Au", "Ga"], "fractional_positions": [[0.667, 0.333, 0.750], [0.333, 0.667, 0.250]], "final_energy_ev_per_fu": -6.38}

[8]
{"formula": "Ta2TcGe", "functional": "PBE", "state": "optimized geometry", "cell": [[0.000, 3.195, 3.195], [3.195, 0.000, 3.195], [3.195, 3.195, 0.000]], "species": ["Ge", "Ta", "Ta", "Tc"], "fractional_positions": [[0.500, 0.500, 0.500], [0.750, 0.750, 0.750], [0.000, 0.000, 0.000], [0.250, 0.250, 0.250]], "final_energy_ev_per_fu": -38.59}

[9]
{"formula": "Tm2Fe2B2CN", "functional": "PBE", "state": "optimized geometry", "cell": [[3.438, 0.000, 0.000], [0.000, 3.438, 0.000], [0.000, 0.000, 7.771]], "species": ["N", "Tm", "Tm", "B", "B", "C", "Fe", "Fe"], "fractional_positions": [[0.500, 0.500, 0.143], [0.000, 0.000, 0.164], [0.500, 0.500, 0.843], [0.500, 0.500, 0.331], [0.000, 0.000, 0.667], [0.000, 0.000, 0.860], [0.000, 0.500, 0.497], [0.500, 0.000, 0.497]], "final_energy_ev_per_fu": -62.40}

[10]
{"formula": "BeCuBMo", "functional": "PBE", "state": "optimized geometry", "cell": [[0.000, 2.738, 2.738], [2.738, 0.000, 2.738], [2.738, 2.738, 0.000]], "species": ["Be", "Mo", "Cu", "B"], "fractional_positions": [[0.500, 0.500, 0.500], [0.250, 0.250, 0.250], [0.750, 0.750, 0.750], [0.000, 0.000, 0.000]], "final_energy_ev_per_fu": -23.70, "relative_energy_mev_per_atom": 0}

[11]
{"formula": "H24PdC8N2Cl4", "functional": "PBE", "state": "optimized geometry", "cell": [[8.697, 0.000, 0.000], [0.000, 8.697, 0.000], [0.000, 0.000, 11.227]], "species": ["H", "H", "H", "H", "H", "H", "H", "H", "H", "H", "H", "H", "H", "H", "H", "H", "H", "H", "H", "H", "H", "H", "H", "H", "H", "H", "H", "H", "H", "H", "H", "H", "H", "H", "H", "H", "H", "H", "H", "H", "H", "H", "H", "H", "H", "H", "H", "H", "Cl", "Cl", "Cl", "Cl", "Cl", "Cl", "Cl", "Cl", "C", "C", "C", "C", "C", "C", "C", "C", "C", "C", "C", "C", "C", "C", "C", "C", "N", "N", "N", "N", "Pd", "Pd"], "fractional_positions": [[0.926, 0.661, 0.121], [0.333, 0.026, 0.385], [0.107, 0.717, 0.731], [0.893, 0.283, 0.731], [0.667, 0.974, 0.615], [0.283, 0.893, 0.269], [0.074, 0.339, 0.121], [0.667, 0.974, 0.385], [0.839, 0.426, 0.621], [0.926, 0.661, 0.879], [0.026, 0.333, 0.385], [0.393, 0.217, 0.769], [0.661, 0.926, 0.879], [0.074, 0.339, 0.879], [0.607, 0.783, 0.769], [0.839, 0.426, 0.379], [0.974, 0.667, 0.615], [0.607, 0.783, 0.231], [0.974, 0.667, 0.385], [0.426, 0.839, 0.621], [0.217, 0.393, 0.231], [0.026, 0.333, 0.615], [0.661, 0.926, 0.121], [0.783, 0.607, 0.231], [0.283, 0.893, 0.731], [0.783, 0.607, 0.769], [0.393, 0.217, 0.231], [0.833, 0.474, 0.885], [0.426, 0.839, 0.379], [0.474, 0.833, 0.115], [0.217, 0.393, 0.769], [0.717, 0.107, 0.269], [0.107, 0.717, 0.269], [0.574, 0.161, 0.621], [0.717, 0.107, 0.731], [0.161, 0.574, 0.621], [0.474, 0.833, 0.885], [0.526, 0.167, 0.885], [0.167, 0.526, 0.885], [0.339, 0.074, 0.121], [0.339, 0.074, 0.879], [0.833, 0.474, 0.115], [0.161, 0.574, 0.379], [0.893, 0.283, 0.269], [0.574, 0.161, 0.379], [0.526, 0.167, 0.115], [0.167, 0.526, 0.115], [0.333, 0.026, 0.615], [0.000, 0.000, 0.794], [0.500, 0.500, 0.294], [0.500, 0.500, 0.706], [0.809, 0.191, 0.000], [0.309, 0.309, 0.500], [0.191, 0.809, 0.000], [0.000, 0.000, 0.206], [0.691, 0.691, 0.500], [0.124, 0.434, 0.827], [0.566, 0.876, 0.173], [0.376, 0.934, 0.673], [0.066, 0.624, 0.673], [0.624, 0.066, 0.327], [0.124, 0.434, 0.173], [0.934, 0.376, 0.673], [0.434, 0.124, 0.827], [0.566, 0.876, 0.827], [0.934, 0.376, 0.327], [0.876, 0.566, 0.173], [0.624, 0.066, 0.673], [0.876, 0.566, 0.827], [0.066, 0.624, 0.327], [0.376, 0.934, 0.327], [0.434, 0.124, 0.173], [0.500, 0.000, 0.250], [0.000, 0.500, 0.250], [0.000, 0.500, 0.750], [0.500, 0.000, 0.750], [0.500, 0.500, 0.500], [0.000, 0.000, 0.000]], "final_energy_ev_per_fu": -194.32}

[12]
{"formula": "Pr4Ga4O11", "functional": "PBE", "state": "optimized geometry", "cell": [[-0.450, -0.360, 5.464], [-5.289, -1.707, -0.564], [2.369, -7.248, -0.282]], "species": ["Pr", "Pr", "Pr", "Pr", "O", "O", "O", "O", "O", "O", "O", "O", "O", "O", "O", "Ga", "Ga", "Ga", "Ga"], "fractional_positions": [[0.009, 0.952, 0.750], [0.495, 0.456, 0.750], [0.506, 0.545, 0.250], [0.987, 0.048, 0.250], [0.214, 0.211, 0.961], [0.784, 0.788, 0.045], [0.711, 0.287, 0.455], [0.581, 0.018, 0.750], [0.711, 0.287, 0.045], [0.214, 0.211, 0.539], [0.923, 0.518, 0.750], [0.290, 0.711, 0.541], [0.784, 0.788, 0.455], [0.415, 0.981, 0.250], [0.290, 0.711, 0.959], [0.004, 0.501, 0.014], [0.004, 0.501, 0.486], [0.499, 0.000, 0.001], [0.499, 0.000, 0.499]], "final_energy_ev_per_fu": -132.95}